Entry 1:
# Mg2IrOs (PBE-GGA, relaxed)
# E: -90.29 eV per cell
# M_tot: 0.000 μB/atom
# Offset from the most stable computed form: 24.70 kJ per mole of atoms
# Energy of formation: 17.1 kJ per mole of atoms
data_Mg2IrOs
_chemical_formula_sum 'Mg8 Ir4 Os4'
_symmetry_space_group_name_H-M 'F m -3 m'
_symmetry_Int_Tables_number 225
_symmetry_space_group_name_Hall '-F 4 2 3'
_cell_length_a 6.247
_cell_length_b 6.247
_cell_length_c 6.247
_cell_angle_alpha 90.00
_cell_angle_beta 90.00
_cell_angle_gamma 90.00
loop_
_atom_site_label
_atom_site_fract_x
_atom_site_fract_y
_atom_site_fract_z
Mg1 0.250 0.250 0.250
Ir1 0.000 0.000 0.000
Os1 0.000 0.000 0.500



Entry 2:
# AsPtN2O (PBE-GGA, relaxed)
# E: -26.15 eV per cell
# M_tot: 0.000 μB/atom
data_AsPtN2O
_chemical_formula_sum 'As1 Pt1 N2 O1'
_symmetry_space_group_name_H-M 'P 4/m m m'
_symmetry_Int_Tables_number 123
_symmetry_space_group_name_Hall '-P 4 2'
_cell_length_a 3.902
_cell_length_b 3.902
_cell_length_c 3.530
_cell_angle_alpha 90.00
_cell_angle_beta 90.00
_cell_angle_gamma 90.00
loop_
_atom_site_label
_atom_site_fract_x
_atom_site_fract_y
_atom_site_fract_z
As1 0.000 0.000 0.000
Pt1 0.500 0.500 0.500
N1 0.000 0.500 0.000
O1 0.000 0.000 0.500



Entry 3:
# La5Pr6Th (PBE-GGA, relaxed)
# E: -120.83 eV per cell
# M_tot: 0.000 μB/atom
# Energy of formation: 2.5 kJ per mole of atoms
data_La5Pr6Th
_chemical_formula_sum 'La10 Pr12 Th2'
_symmetry_space_group_name_H-M 'I m m m'
_symmetry_Int_Tables_number 71
_symmetry_space_group_name_Hall '-I 2 2'
_cell_length_a 5.246
_cell_length_b 10.493
_cell_length_c 15.767
_cell_angle_alpha 90.00
_cell_angle_beta 90.00
_cell_angle_gamma 90.00
loop_
_atom_site_label
_atom_site_fract_x
_atom_site_fract_y
_atom_site_fract_z
La1 0.000 0.000 0.000
La2 0.000 0.000 0.337
La3 0.000 0.500 0.335
Pr1 0.000 0.240 0.500
Pr2 0.000 0.255 0.164
Th1 0.000 0.500 0.000